# 1
## Mg2FeMo (PBE)

Data for a relaxed Mg2FeMo crystal.

Cell: 6.209 6.209 6.209 Å, 90.00 90.00 90.00°
Positions (direct):
Mg: 0.000 0.000 0.000
Mg: 0.000 0.500 0.500
Mg: 0.250 0.250 0.250
Mg: 0.250 0.750 0.750
Mg: 0.500 0.000 0.500
Mg: 0.500 0.500 0.000
Mg: 0.750 0.250 0.750
Mg: 0.750 0.750 0.250
Fe: 0.000 0.000 0.500
Fe: 0.000 0.500 0.000
Fe: 0.500 0.000 0.000
Fe: 0.500 0.500 0.500
Mo: 0.250 0.250 0.750
Mo: 0.250 0.750 0.250
Mo: 0.750 0.250 0.250
Mo: 0.750 0.750 0.750

Results
density of states at the Fermi level: 0.264 states/eV/f.u.
polymorph energy (0 for the lowest one): 0.168 eV per atom
calculated formation energy: 0.308 eV per atom



# 2
## Mg2FeMo (PBE)

Data for a relaxed Mg2FeMo crystal.

Cell: 8.913 2.844 5.234 Å, 90.00 99.28 90.00°
Positions (direct):
Mg: 0.000 0.000 0.000
Mg: 0.236 0.000 0.745
Mg: 0.500 0.500 0.000
Mg: 0.736 0.500 0.745
Fe: 0.245 0.500 0.291
Fe: 0.745 0.000 0.291
Mo: 0.476 0.000 0.462
Mo: 0.976 0.500 0.462

Results
density of states at the Fermi level: 2.273 states/eV/f.u.
polymorph energy (0 for the lowest one): 0.218 eV per atom
calculated formation energy: 0.358 eV per atom



# 3
## Mg2FeMo (PBE)

Data for a relaxed Mg2FeMo crystal.

Cell: 3.779 3.779 8.901 Å, 90.00 90.00 90.00°
Positions (direct):
Mg: 0.000 0.500 0.250
Mg: 0.000 0.500 0.750
Mg: 0.500 0.000 0.250
Mg: 0.500 0.000 0.750
Fe: 0.000 0.000 0.000
Fe: 0.500 0.500 0.500
Mo: 0.000 0.000 0.500
Mo: 0.500 0.500 0.000

Results
density of states at the Fermi level: 3.832 states/eV/f.u.
polymorph energy (0 for the lowest one): 0.321 eV per atom
calculated formation energy: 0.461 eV per atom



# 4
## MgFeMo3 (PBE)

Data for a relaxed MgFeMo3 crystal.

Cell: 4.504 4.504 4.504 Å, 90.00 90.00 90.00°
Positions (direct):
Mg: 0.000 0.000 0.000
Fe: 0.500 0.500 0.500
Mo: 0.000 0.500 0.500
Mo: 0.500 0.000 0.500
Mo: 0.500 0.500 0.000

Results
density of states at the Fermi level: 6.861 states/eV/f.u.
polymorph energy (0 for the lowest one): 0.000 eV per atom
calculated formation energy: 1.019 eV per atom



# 5
## Mg2FeMo (PBE)

Data for a relaxed Mg2FeMo crystal.

Cell: 5.489 8.901 2.665 Å, 90.00 90.00 90.00°
Positions (direct):
Mg: 0.250 0.250 0.000
Mg: 0.250 0.750 0.000
Mg: 0.750 0.250 0.000
Mg: 0.750 0.750 0.000
Fe: 0.000 0.000 0.500
Fe: 0.500 0.500 0.500
Mo: 0.000 0.500 0.500
Mo: 0.500 0.000 0.500

Results
density of states at the Fermi level: 2.889 states/eV/f.u.
polymorph energy (0 for the lowest one): 0.236 eV per atom
calculated formation energy: 0.376 eV per atom



# 6
## Mg2FeMo (PBE)

Data for a relaxed Mg2FeMo crystal.

Cell: 3.521 4.133 8.870 Å, 90.00 90.00 90.00°
Positions (direct):
Mg: 0.000 0.000 0.238
Mg: 0.000 0.000 0.762
Mg: 0.500 0.500 0.238
Mg: 0.500 0.500 0.762
Fe: 0.000 0.500 0.000
Fe: 0.500 0.000 0.000
Mo: 0.000 0.500 0.500
Mo: 0.500 0.000 0.500

Results
density of states at the Fermi level: 3.272 states/eV/f.u.
polymorph energy (0 for the lowest one): 0.176 eV per atom
calculated formation energy: 0.316 eV per atom



# 7
## Mg2FeMo (PBE)

Data for a relaxed Mg2FeMo crystal.

Cell: 2.684 4.559 5.388 Å, 90.00 104.01 90.00°
Positions (direct):
Mg: 0.198 0.000 0.255
Mg: 0.802 0.000 0.745
Fe: 0.000 0.500 0.500
Mo: 0.500 0.500 0.000

Results
density of states at the Fermi level: 3.336 states/eV/f.u.
polymorph energy (0 for the lowest one): 0.240 eV per atom
calculated formation energy: 0.380 eV per atom



# 8
## Mg2FeMo (PBE)

Data for a relaxed Mg2FeMo crystal.

Cell: 7.238 7.238 5.203 Å, 90.00 90.00 90.00°
Positions (direct):
Mg: 0.226 0.250 0.125
Mg: 0.250 0.726 0.375
Mg: 0.250 0.774 0.875
Mg: 0.274 0.250 0.625
Mg: 0.726 0.750 0.625
Mg: 0.750 0.226 0.875
Mg: 0.750 0.274 0.375
Mg: 0.774 0.750 0.125
Fe: 0.000 0.000 0.000
Fe: 0.000 0.500 0.250
Fe: 0.500 0.000 0.750
Fe: 0.500 0.500 0.500
Mo: 0.000 0.000 0.500
Mo: 0.000 0.500 0.750
Mo: 0.500 0.000 0.250
Mo: 0.500 0.500 0.000

Results
density of states at the Fermi level: 2.956 states/eV/f.u.
polymorph energy (0 for the lowest one): 0.711 eV per atom
calculated formation energy: 0.851 eV per atom



# 9
## Mg2FeMo (PBE)

Data for a relaxed Mg2FeMo crystal.

Cell: 3.038 4.352 9.292 Å, 90.00 90.00 90.00°
Positions (direct):
Mg: 0.000 0.000 0.228
Mg: 0.000 0.000 0.772
Mg: 0.500 0.500 0.272
Mg: 0.500 0.500 0.728
Fe: 0.000 0.500 0.500
Fe: 0.500 0.000 0.000
Mo: 0.000 0.500 0.000
Mo: 0.500 0.000 0.500

Results
density of states at the Fermi level: 2.309 states/eV/f.u.
polymorph energy (0 for the lowest one): 0.272 eV per atom
calculated formation energy: 0.412 eV per atom



# 10
## Mg4FeMo (PBE)

Data for a relaxed Mg4FeMo crystal.

Cell: 5.375 5.375 5.375 Å, 60.00 60.00 60.00°
Positions (direct):
Mg: 0.124 0.124 0.124
Mg: 0.124 0.124 0.627
Mg: 0.124 0.627 0.124
Mg: 0.627 0.124 0.124
Fe: 0.500 0.500 0.500
Mo: 0.750 0.750 0.750

Results
density of states at the Fermi level: 4.570 states/eV/f.u.
calculated formation energy: 0.718 eV per atom



# 11
## Mg2FeMo (PBE)

Data for a relaxed Mg2FeMo crystal.

Cell: 6.335 6.335 6.335 Å, 90.00 90.00 90.00°
Positions (direct):
Mg: 0.250 0.250 0.250
Mg: 0.250 0.250 0.750
Mg: 0.250 0.750 0.250
Mg: 0.250 0.750 0.750
Mg: 0.750 0.250 0.250
Mg: 0.750 0.250 0.750
Mg: 0.750 0.750 0.250
Mg: 0.750 0.750 0.750
Fe: 0.000 0.000 0.000
Fe: 0.000 0.500 0.500
Fe: 0.500 0.000 0.500
Fe: 0.500 0.500 0.000
Mo: 0.000 0.000 0.500
Mo: 0.000 0.500 0.000
Mo: 0.500 0.000 0.000
Mo: 0.500 0.500 0.500

Results
density of states at the Fermi level: 8.735 states/eV/f.u.
polymorph energy (0 for the lowest one): 0.636 eV per atom
calculated formation energy: 0.776 eV per atom



# 12
## Mg2FeMo (PBE)

Data for a relaxed Mg2FeMo crystal.

Cell: 2.728 2.728 8.677 Å, 90.00 90.00 90.00°
Positions (direct):
Mg: 0.000 0.000 0.237
Mg: 0.000 0.000 0.763
Fe: 0.500 0.500 0.000
Mo: 0.500 0.500 0.500

Results
density of states at the Fermi level: 3.329 states/eV/f.u.
polymorph energy (0 for the lowest one): 0.180 eV per atom
calculated formation energy: 0.320 eV per atom



# 13
## Mg2FeMo (PBE)

Data for a relaxed Mg2FeMo crystal.

Cell: 3.149 4.699 8.896 Å, 90.00 90.00 90.00°
Positions (direct):
Mg: 0.000 0.000 0.000
Mg: 0.000 0.500 0.220
Mg: 0.500 0.000 0.720
Mg: 0.500 0.500 0.500
Fe: 0.000 0.000 0.471
Fe: 0.500 0.500 0.971
Mo: 0.000 0.500 0.782
Mo: 0.500 0.000 0.282

Results
density of states at the Fermi level: 2.955 states/eV/f.u.
polymorph energy (0 for the lowest one): 0.190 eV per atom
calculated formation energy: 0.330 eV per atom



# 14
## Mg2FeMo (PBE)

Data for a relaxed Mg2FeMo crystal.

Cell: 3.860 3.860 4.317 Å, 90.00 90.00 90.00°
Positions (direct):
Mg: 0.000 0.500 0.000
Mg: 0.500 0.000 0.000
Fe: 0.000 0.000 0.500
Mo: 0.500 0.500 0.500

Results
density of states at the Fermi level: 4.041 states/eV/f.u.
polymorph energy (0 for the lowest one): 0.277 eV per atom
calculated formation energy: 0.417 eV per atom



# 15
## Mg2FeMo (PBE)

Data for a relaxed Mg2FeMo crystal.

Cell: 2.762 4.268 5.659 Å, 90.00 102.36 90.00°
Positions (direct):
Mg: 0.000 0.000 0.000
Mg: 0.311 0.500 0.725
Fe: 0.544 0.000 0.456
Mo: 0.696 0.500 0.268

Results
density of states at the Fermi level: 2.376 states/eV/f.u.
polymorph energy (0 for the lowest one): 0.141 eV per atom
calculated formation energy: 0.281 eV per atom



# 16
## MgFeMo4 (PBE)

Data for a relaxed MgFeMo4 crystal.

Cell: 5.227 5.227 5.227 Å, 60.00 60.00 60.00°
Positions (direct):
Mg: 0.000 0.000 0.000
Fe: 0.250 0.250 0.250
Mo: 0.125 0.625 0.625
Mo: 0.625 0.125 0.625
Mo: 0.625 0.625 0.125
Mo: 0.625 0.625 0.625

Results
density of states at the Fermi level: 3.117 states/eV/f.u.
calculated formation energy: 0.453 eV per atom